(1)
Th3AgHg2 after structural relaxation. Source: Alexandria via LeMat-Bulk, functional PBE.

```
Th3AgHg2
1.0
3.745 0.000 0.000
0.000 3.745 0.000
0.000 0.000 11.740
Th Ag Hg
3 1 2
direct
0.000 0.000 0.000
0.000 0.000 0.340
0.000 0.000 0.660
0.500 0.500 0.500
0.500 0.500 0.171
0.500 0.500 0.829
```

Values from the calculation:
Formation enthalpy at 0 K, meV per atom: -137
Space group: P4/mmm
Spin magnetization, μB/f.u.: 0.00
Density of states at the Fermi level, states/eV/cell: 5.6

(2)
ThAg2Hg3 after structural relaxation. Source: Alexandria via LeMat-Bulk, functional PBE.

```
ThAg2Hg3
1.0
4.986 0.000 0.000
-2.493 4.318 0.000
0.000 0.000 13.116
Th Ag Hg
2 4 6
direct
0.000 0.000 0.250
0.000 0.000 0.750
0.333 0.667 0.135
0.333 0.667 0.365
0.667 0.333 0.635
0.667 0.333 0.865
0.000 0.000 0.000
0.000 0.000 0.500
0.333 0.667 0.616
0.333 0.667 0.884
0.667 0.333 0.116
0.667 0.333 0.384
```

Values from the calculation:
Formation enthalpy at 0 K, meV per atom: -97
Space group: P6_3/mmc
Spin magnetization, μB/f.u.: 0.00
Density of states at the Fermi level, states/eV/cell: 7.8

(3)
Th3Ag2Hg3 after structural relaxation. Source: Alexandria via LeMat-Bulk, functional PBE.

```
Th3Ag2Hg3
1.0
8.480 0.000 0.000
-4.240 7.344 0.000
0.000 0.000 3.422
Th Ag Hg
3 2 3
direct
0.000 0.656 0.000
0.344 0.344 0.000
0.656 0.000 0.000
0.333 0.667 0.500
0.667 0.333 0.500
0.000 0.308 0.500
0.308 0.000 0.500
0.692 0.692 0.500
```

Values from the calculation:
Formation enthalpy at 0 K, meV per atom: -158
Space group: P-62m
Spin magnetization, μB/f.u.: 0.00
Density of states at the Fermi level, states/eV/cell: 5.9

(4)
Th2Ag3Hg4 after structural relaxation. Source: Alexandria via LeMat-Bulk, functional PBE.

```
Th2Ag3Hg4
1.0
3.176 -8.044 0.000
3.176 8.044 0.000
0.000 0.000 8.400
Th Ag Hg
4 6 8
direct
0.118 0.882 0.921
0.382 0.618 0.421
0.618 0.382 0.579
0.882 0.118 0.079
0.000 0.000 0.500
0.029 0.471 0.750
0.471 0.029 0.250
0.500 0.500 0.000
0.529 0.971 0.750
0.971 0.529 0.250
0.178 0.822 0.535
0.206 0.294 0.750
0.294 0.206 0.250
0.322 0.678 0.035
0.678 0.322 0.965
0.706 0.794 0.750
0.794 0.706 0.250
0.822 0.178 0.465
```

Values from the calculation:
Formation enthalpy at 0 K, meV per atom: -87
Space group: Cmce
Spin magnetization, μB/f.u.: 0.00
Density of states at the Fermi level, states/eV/cell: 15.2

(5)
Th2Ag2Hg3 after structural relaxation. Source: Alexandria via LeMat-Bulk, functional PBE.

```
Th2Ag2Hg3
1.0
5.595 -2.215 0.000
5.595 2.215 0.000
-0.434 0.000 7.075
Th Ag Hg
2 2 3
direct
0.121 0.121 0.317
0.879 0.879 0.683
0.403 0.403 0.371
0.597 0.597 0.629
0.194 0.194 0.854
0.500 0.500 0.000
0.806 0.806 0.146
```

Values from the calculation:
Formation enthalpy at 0 K, meV per atom: -82
Space group: C2/m
Spin magnetization, μB/f.u.: 0.00
Density of states at the Fermi level, states/eV/cell: 7.1

(6)
Th3Ag4Hg4 after structural relaxation. Source: Alexandria via LeMat-Bulk, functional PBE.

```
Th3Ag4Hg4
1.0
-2.229 3.884 7.742
2.229 -3.884 7.742
2.229 3.884 -7.742
Th Ag Hg
3 4 4
direct
0.000 0.000 0.000
0.373 0.873 0.500
0.627 0.127 0.500
0.218 0.218 0.000
0.319 0.500 0.819
0.681 0.500 0.181
0.782 0.782 0.000
0.031 0.332 0.699
0.368 0.668 0.699
0.632 0.332 0.301
0.969 0.668 0.301
```

Values from the calculation:
Formation enthalpy at 0 K, meV per atom: -77
Space group: Immm
Spin magnetization, μB/f.u.: 0.00
Density of states at the Fermi level, states/eV/cell: 10.6

Q: Among the records above, which one has the highest formation enthalpy at 0 K?
A: Th3Ag4Hg4

Q: Which value of density of states at the Fermi level does entry 1 give?
A: 5.6 states/eV/cell

Q: What is the spin magnetization in the sixth record?
A: 0.00 μB/f.u.

Q: Which formula does entry 6 have?
A: Th3Ag4Hg4